Record 1
La11Pr4Y9: relaxed, PBE.

As for the energy of formation from the pure elements: 60.0 meV per atom. The calculation puts the total magnetization at 0.000 μB per formula unit.

The space group is Cmmm (No. 65) and the conventional cell measures 17.285, 26.096 and 3.772 Å, with angles of 90.00, 90.00 and 90.00 degrees. The inequivalent atoms are La at (0.000, 0.000, 0.000), La at (0.000, 0.158, 0.000), La at (0.000, 0.367, 0.000), La at (0.209, 0.500, 0.000), La at (0.227, 0.181, 0.000), Pr at (0.155, 0.400, 0.500), Y at (0.000, 0.500, 0.500), Y at (0.101, 0.264, 0.500) and Y at (0.138, 0.073, 0.500).


Record 2
La2Pr7Y3: relaxed, PBE.

The energy above the most stable polymorph in this dataset is 0.025 eV per atom. As for the energy of formation from the pure elements: 82.4 meV per atom. The calculation puts the total magnetization at 0.000 μB per formula unit.

The space group is P2/m (No. 10) and the conventional cell measures 6.036, 3.685 and 19.334 Å, with angles of 90.00, 93.70 and 90.00 degrees. The inequivalent atoms are La at (0.206, 0.000, 0.298), Pr at (0.180, 0.500, 0.144), Pr at (0.242, 0.000, 0.465), Pr at (0.319, 0.000, 0.822), Pr at (0.500, 0.500, 0.000), Y at (0.000, 0.000, 0.000) and Y at (0.281, 0.500, 0.631).


Record 3
La4PrY6: relaxed, PBE.

The energy above the most stable polymorph in this dataset is 0.148 eV per atom. As for the energy of formation from the pure elements: 308.5 meV per atom. The calculation puts the total magnetization at 0.000 μB per formula unit.

The space group is I-42m (No. 121) and the conventional cell measures 6.845, 6.845 and 17.064 Å, with angles of 90.00, 90.00 and 90.00 degrees. The inequivalent atoms are La at (0.189, 0.189, 0.176), Pr at (0.000, 0.000, 0.000), Y at (0.000, 0.500, 0.000) and Y at (0.175, 0.175, 0.381).


Record 4
La8Pr6Y: relaxed, PBE.

The energy above the most stable polymorph in this dataset is 0.000 eV per atom. As for the energy of formation from the pure elements: 111.1 meV per atom. The calculation puts the total magnetization at 0.000 μB per formula unit.

The space group is R-3 (No. 148, hexagonal axes) and the conventional cell measures 10.0211, 10.0211 and 18.7528 Å, with angles of 90.00, 90.00 and 120.00 degrees. The inequivalent atoms are La at (0.0000, 0.0000, 0.2336), La at (0.0461, 0.2807, 0.9017), Pr at (0.0226, 0.2359, 0.4064) and Y at (0.0000, 0.0000, 0.0000).


Record 5
La9Pr11Y4: relaxed, PBE.

As for the energy of formation from the pure elements: 48.8 meV per atom. The calculation puts the total magnetization at 0.353 μB per formula unit.

The space group is Cmmm (No. 65) and the conventional cell measures 16.769, 27.821 and 3.732 Å, with angles of 90.00, 90.00 and 90.00 degrees. The inequivalent atoms are La at (0.000, 0.000, 0.000), La at (0.107, 0.220, 0.000), La at (0.113, 0.410, 0.000), Pr at (0.000, 0.121, 0.500), Pr at (0.000, 0.317, 0.500), Pr at (0.000, 0.500, 0.500), Pr at (0.218, 0.316, 0.500), Pr at (0.240, 0.500, 0.500) and Y at (0.172, 0.094, 0.000).


Record 6
La3PrY4: relaxed, PBE.

The energy above the most stable polymorph in this dataset is 0.000 eV per atom. As for the energy of formation from the pure elements: 27.1 meV per atom. The calculation puts the total magnetization at 0.000 μB per formula unit.

The space group is Pmn2_1 (No. 31) and the conventional cell measures 11.750, 7.385 and 6.412 Å, with angles of 90.00, 90.00 and 90.00 degrees. The inequivalent atoms are La at (0.000, 0.126, 0.000), La at (0.250, 0.124, 0.325), Pr at (0.000, 0.872, 0.498), Y at (0.000, 0.378, 0.497), Y at (0.000, 0.622, 0.997) and Y at (0.249, 0.621, 0.329).


> The highest energy of formation from the pure elements belongs to which entry?

La4PrY6